A plane-wave DFT calculation with PBE was carried out for Ba3CdSn2 after structural relaxation.

a = 10.330 Å, b = 10.964 Å, c = 10.332 Å
α = 90.00°, β = 118.88°, γ = 90.00°
Atoms (fractional coordinates):
Sn (0.212, 0.605, 0.789)
Sn (0.788, 0.395, 0.211)
Sn (0.227, 0.749, 0.275)
Sn (0.712, 0.895, 0.289)
Sn (0.773, 0.251, 0.725)
Sn (0.273, 0.249, 0.225)
Sn (0.727, 0.751, 0.775)
Sn (0.288, 0.105, 0.711)
Cd (0.557, 0.812, 0.443)
Cd (0.443, 0.188, 0.557)
Cd (0.943, 0.312, 0.057)
Cd (0.057, 0.688, 0.943)
Ba (0.168, 0.444, 0.433)
Ba (0.933, 0.947, 0.669)
Ba (0.143, 0.304, 0.856)
Ba (0.857, 0.696, 0.144)
Ba (0.067, 0.053, 0.331)
Ba (0.332, 0.944, 0.067)
Ba (0.357, 0.804, 0.644)
Ba (0.433, 0.553, 0.169)
Ba (0.567, 0.447, 0.831)
Ba (0.832, 0.556, 0.567)
Ba (0.668, 0.056, 0.933)
Ba (0.643, 0.196, 0.356)

Values from the calculation:
* total magnetization: 0.000 μB/f.u.
* formation enthalpy at 0 K: -0.496 eV per atom
* raw total energy: -2.944 eV per atom